Entry 1:
This record from Alexandria via LeMat-Bulk describes crystalline Rb2AsAuI at its relaxed geometry. The functional is PBE.

```
5
Lattice="-3.8010 -5.6586 0.5644 0.1359 -0.7690 -6.7952 3.9063 -2.5869 0.3709" Properties=species:S:1:pos:R:3 pbc="T T T"
I 0.1206 -4.5073 -2.9300
As 0.0000 0.0000 0.0000
Au 1.9531 -1.2935 0.1855
Rb 0.0680 -0.3845 -3.3976
Rb -1.9005 -2.8293 0.2822
```

Results
total DFT energy (no corrections): -2.899 eV/atom
D(E_F): 1.76 states/eV per cell
spin magnetization: 0.00 μB per cell
uncorrected formation energy: -0.62 eV per atom

---

Entry 2:
This record from Alexandria via LeMat-Bulk describes crystalline Re2AsAuI at its relaxed geometry. The functional is PBE.

```
5
Lattice="5.1423 0.0000 0.0000 0.0000 5.3239 0.0000 0.0000 0.0000 5.1423" Properties=species:S:1:pos:R:3 pbc="T T T"
I 0.0000 2.6619 0.0000
Re 0.0000 0.0000 2.5712
Re 2.5712 0.0000 0.0000
As 2.5712 2.6619 2.5712
Au 0.0000 0.0000 0.0000
```

Results
total DFT energy (no corrections): -4.363 eV/atom
D(E_F): 3.59 states/eV per cell
spin magnetization: 6.06 μB per cell
uncorrected formation energy: 2.51 eV per atom

---

Entry 3:
This record from Alexandria via LeMat-Bulk describes crystalline Sb2AsAuI at its relaxed geometry. The functional is PBE.

```
5
Lattice="-0.0142 -4.8539 2.4691 3.0579 2.0360 4.0201 -4.4623 1.3832 2.6937" Properties=species:S:1:pos:R:3 pbc="T T T"
I -2.2311 0.6916 1.3469
Sb 1.5290 1.0180 2.0100
Sb -0.0071 -2.4270 1.2345
As -0.7093 -0.7173 4.5914
Au 0.0000 0.0000 0.0000
```

Results
total DFT energy (no corrections): -2.753 eV/atom
D(E_F): 5.77 states/eV per cell
spin magnetization: 0.00 μB per cell
uncorrected formation energy: 0.79 eV per atom

---

Entry 4:
This record from Alexandria via LeMat-Bulk describes crystalline Sb2AsAuI at its relaxed geometry. The functional is PBE.

```
5
Lattice="-5.3002 0.6611 -1.0918 -1.2495 -3.6398 3.8615 -0.2612 4.0129 3.6980" Properties=species:S:1:pos:R:3 pbc="T T T"
I -0.1306 2.0065 1.8490
Sb -0.6247 -1.8199 1.9308
Sb -2.6501 0.3306 -0.5459
As 0.0000 0.0000 0.0000
Au -3.4054 0.5171 3.2339
```

Results
total DFT energy (no corrections): -2.744 eV/atom
D(E_F): 4.87 states/eV per cell
spin magnetization: 0.63 μB per cell
uncorrected formation energy: 0.80 eV per atom

---

Entry 5:
This record from Alexandria via LeMat-Bulk describes crystalline SbAsAuI2 at its relaxed geometry. The functional is PBE.

```
5
Lattice="-5.0078 -0.3442 2.4165 -1.7850 -3.2453 -4.1614 1.6732 -4.5378 2.8211" Properties=species:S:1:pos:R:3 pbc="T T T"
I -0.8925 -1.6226 -2.0807
I -2.5039 -0.1721 1.2082
Sb 0.8366 -2.2689 1.4105
As 0.0000 0.0000 0.0000
Au -2.5598 -4.0637 0.5381
```

Results
total DFT energy (no corrections): -2.369 eV/atom
D(E_F): 4.49 states/eV per cell
spin magnetization: 0.86 μB per cell
uncorrected formation energy: 0.66 eV per atom

---

Entry 6:
This record from Alexandria via LeMat-Bulk describes crystalline SbAsAuI2 at its relaxed geometry. The functional is PBE.

```
5
Lattice="5.4999 0.0000 0.0000 0.0000 5.4999 0.0000 0.0000 0.0000 5.6990" Properties=species:S:1:pos:R:3 pbc="T T T"
I 0.0000 2.7499 0.0000
I 2.7499 0.0000 0.0000
Sb 0.0000 0.0000 2.8495
As 2.7499 2.7499 2.8495
Au 0.0000 0.0000 0.0000
```

Results
total DFT energy (no corrections): -2.316 eV/atom
D(E_F): 4.22 states/eV per cell
spin magnetization: 0.92 μB per cell
uncorrected formation energy: 0.71 eV per atom

---

Entry 7:
This record from Alexandria via LeMat-Bulk describes crystalline As2AuSeI at its relaxed geometry. The functional is PBE.

```
5
Lattice="5.1628 0.0000 0.0000 0.0000 5.1628 0.0000 0.0000 0.0000 5.0753" Properties=species:S:1:pos:R:3 pbc="T T T"
I 2.5814 2.5814 2.5376
As 0.0000 2.5814 0.0000
As 2.5814 0.0000 0.0000
Au 0.0000 0.0000 0.0000
Se 0.0000 0.0000 2.5376
```

Results
total DFT energy (no corrections): -2.782 eV/atom
D(E_F): 5.89 states/eV per cell
spin magnetization: 0.26 μB per cell
uncorrected formation energy: 0.74 eV per atom

---

Entry 8:
This record from Alexandria via LeMat-Bulk describes crystalline AsAuSe2I at its relaxed geometry. The functional is PBE.

```
5
Lattice="5.1295 0.0000 0.0000 0.0000 5.1295 0.0000 0.0000 0.0000 5.1495" Properties=species:S:1:pos:R:3 pbc="T T T"
I 2.5647 2.5647 2.5748
As 0.0000 0.0000 2.5748
Au 0.0000 0.0000 0.0000
Se 0.0000 2.5647 0.0000
Se 2.5647 0.0000 0.0000
```

Results
total DFT energy (no corrections): -2.618 eV/atom
D(E_F): 6.49 states/eV per cell
spin magnetization: 0.00 μB per cell
uncorrected formation energy: 0.67 eV per atom

---

Entry 9:
This record from Alexandria via LeMat-Bulk describes crystalline Sr6As2AuI3 at its relaxed geometry. The functional is PBE.

```
12
Lattice="-7.0295 -1.1350 -3.6589 2.8275 -5.4574 5.1295 -2.3313 5.9613 5.5467" Properties=species:S:1:pos:R:3 pbc="T T T"
Sr -6.7528 0.4564 4.0609
Sr -3.5383 -3.5910 2.2024
Sr 0.2195 -1.0874 2.9564
Sr -3.3991 -1.0142 7.0510
Sr -2.9950 2.9600 4.8149
Sr -3.1342 0.3832 -0.0337
As -0.4715 -4.0107 2.1881
As -3.7305 -2.5816 -0.7175
Au 0.0000 0.0000 0.0000
I -0.0103 -1.7435 6.4120
I -6.5230 1.1124 0.6053
I -3.2666 -0.3155 3.5086
```

Results
total DFT energy (no corrections): -3.528 eV/atom
D(E_F): 4.74 states/eV per cell
spin magnetization: 2.06 μB per cell
uncorrected formation energy: -1.25 eV per atom

---

Entry 10:
This record from Alexandria via LeMat-Bulk describes crystalline SrAsAuI2 at its relaxed geometry. The functional is PBE.

```
5
Lattice="-2.1228 2.5906 -4.4676 -4.1506 -4.5410 -0.6610 -3.5556 2.7701 3.2957" Properties=species:S:1:pos:R:3 pbc="T T T"
I -1.7778 1.3851 1.6479
I -1.0614 1.2953 -2.2338
Sr -2.0753 -2.2705 -0.3305
As 0.0000 0.0000 0.0000
Au -4.9145 0.4098 -0.9164
```

Results
total DFT energy (no corrections): -2.686 eV/atom
D(E_F): 1.89 states/eV per cell
spin magnetization: 0.00 μB per cell
uncorrected formation energy: -0.14 eV per atom

---

Entry 11:
This record from Alexandria via LeMat-Bulk describes crystalline Sr4AsAuI2 at its relaxed geometry. The functional is PBE.

```
8
Lattice="4.5729 0.0000 0.0000 0.0000 7.9765 0.1847 0.0000 -2.7448 8.0866" Properties=species:S:1:pos:R:3 pbc="T T T"
Sr 2.2865 1.2904 1.6579
Sr 2.2865 3.9413 6.6134
Sr 0.0000 -0.0825 6.4676
Sr 0.0000 5.3142 1.8037
As 0.0000 0.0000 0.0000
Au 2.2865 3.9883 0.0924
I 2.2865 -1.3724 4.0433
I 0.0000 2.6159 4.1357
```

Results
total DFT energy (no corrections): -3.402 eV/atom
D(E_F): 4.79 states/eV per cell
spin magnetization: 0.00 μB per cell
uncorrected formation energy: -1.18 eV per atom

---

Entry 12:
This record from Alexandria via LeMat-Bulk describes crystalline Sr6AsAu2I3 at its relaxed geometry. The functional is PBE.

```
12
Lattice="-1.2741 -2.6478 7.3916 5.5251 -3.4403 -4.5724 4.2018 7.2986 1.9044" Properties=species:S:1:pos:R:3 pbc="T T T"
Sr 5.5083 1.2660 5.6418
Sr 4.0044 -3.0281 2.4763
Sr 2.9445 -0.0555 -0.9182
Sr 7.7306 1.0069 1.7313
Sr 4.4484 4.2385 2.2473
Sr 0.7222 0.2035 2.9922
As 0.0000 0.0000 0.0000
Au 3.2590 -3.1762 -0.5850
Au 0.9920 -2.9120 3.4041
I 6.5055 0.3396 -1.6487
I 1.9473 0.8709 6.3722
I 4.2264 0.6052 2.3618
```

Results
total DFT energy (no corrections): -3.280 eV/atom
D(E_F): 9.94 states/eV per cell
spin magnetization: 0.00 μB per cell
uncorrected formation energy: -1.12 eV per atom